# 1
First-principles (PBE) data for a relaxed structure of MnCd4Te, as listed in the Alexandria database.

Magnetization = 4.20 Bohr magnetons per cell
Energy relative to the elements, uncorrected = 0.356 eV/atom
DFT total energy = -2.306 eV/atom
SG = No. 216

Lattice parameters (Å, degrees): 5.8641 5.8641 5.8641 60.00 60.00 60.00
Each line ends with the local moment (μB).
Fractional positions:
Cd (0.3756, 0.8733, 0.3756)  -0.03
Cd (0.8733, 0.3756, 0.3756)  -0.03
Cd (0.3756, 0.3756, 0.3756)  -0.03
Cd (0.3756, 0.3756, 0.8733)  -0.03
Te (0.0000, 0.0000, 0.0000)  0.01
Mn (0.7500, 0.7500, 0.7500)  4.16

---

# 2
First-principles (PBE) data for a relaxed structure of MnCd3Te4, as listed in the Alexandria database.

Magnetization = 5.00 Bohr magnetons per cell
Energy relative to the elements, uncorrected = -0.371 eV/atom
DFT total energy = -3.431 eV/atom
SG = No. 25

Lattice parameters (Å, degrees): 4.6341 6.5294 9.2369 90.00 90.00 90.00
Each line ends with the local moment (μB).
Fractional positions:
Te (0.5000, 0.2580, 0.7403)  0.03
Te (0.5000, 0.2580, 0.2597)  0.03
Te (0.0000, 0.7284, 0.5000)  0.03
Te (0.0000, 0.7548, 0.0000)  0.02
Cd (0.0000, 0.0002, 0.2562)  0.02
Cd (0.0000, 0.0002, 0.7438)  0.02
Cd (0.5000, 0.4992, 0.0000)  0.01
Mn (0.5000, 0.5013, 0.5000)  4.22

---

# 3
First-principles (PBE) data for a relaxed structure of Mn2CdTe, as listed in the Alexandria database.

Polymorph energy (0 for the lowest one) = 64.5 meV/atom
Magnetization = 7.52 Bohr magnetons per cell
Energy relative to the elements, uncorrected = 0.291 eV/atom
DFT total energy = -5.308 eV/atom
SG = No. 6

Lattice parameters (Å, degrees): 4.1013 3.8129 5.5053 69.51 90.00 90.00
Each line ends with the local moment (μB).
Fractional positions:
Mn (0.0000, 0.2157, 0.9434)  3.57
Mn (0.5000, 0.0365, 0.3026)  3.59
Cd (0.5000, 0.7605, 0.8551)  -0.03
Te (0.0000, 0.4874, 0.3989)  -0.03

---

# 4
First-principles (PBE) data for a relaxed structure of MnCdTe, as listed in the Alexandria database.

Polymorph energy (0 for the lowest one) = 61.1 meV/atom
Magnetization = 4.78 Bohr magnetons per cell
Energy relative to the elements, uncorrected = 0.151 eV/atom
DFT total energy = -4.258 eV/atom
SG = No. 156

Lattice parameters (Å, degrees): 4.1114 4.1114 5.3848 90.00 90.00 120.00
Each line ends with the local moment (μB).
Fractional positions:
Mn (0.6667, 0.3333, 0.3591)  4.12
Cd (0.0000, 0.0000, 0.0244)  0.02
Te (0.3333, 0.6667, 0.6166)  0.05

---

# 5
First-principles (PBE) data for a relaxed structure of MnCdTe, as listed in the Alexandria database.

Polymorph energy (0 for the lowest one) = 63.1 meV/atom
Magnetization = 4.05 Bohr magnetons per cell
Energy relative to the elements, uncorrected = 0.153 eV/atom
DFT total energy = -4.256 eV/atom
SG = No. 216

Lattice parameters (Å, degrees): 4.7143 4.7143 4.7143 60.00 60.00 60.00
Each line ends with the local moment (μB).
Fractional positions:
Te (0.0000, 0.0000, 0.0000)  0.01
Cd (0.5000, 0.5000, 0.5000)  -0.01
Mn (0.7500, 0.7500, 0.7500)  3.73

---

# 6
First-principles (PBE) data for a relaxed structure of Mn2CdTe, as listed in the Alexandria database.

Polymorph energy (0 for the lowest one) = 103.9 meV/atom
Magnetization = 7.32 Bohr magnetons per cell
Energy relative to the elements, uncorrected = 0.330 eV/atom
DFT total energy = -5.269 eV/atom
SG = No. 123

Lattice parameters (Å, degrees): 4.3699 4.3699 3.9680 89.98 89.98 90.00
Each line ends with the local moment (μB).
Fractional positions:
Cd (0.0000, 0.5000, 0.5000)  -0.06
Te (0.5000, 0.0000, 0.5000)  0.01
Mn (0.5000, 0.5000, 0.0000)  3.52
Mn (0.0000, 0.0000, 0.0000)  3.52

---

# 7
First-principles (PBE) data for a relaxed structure of Mn2CdTe, as listed in the Alexandria database.

Polymorph energy (0 for the lowest one) = 27.9 meV/atom
Magnetization = 7.46 Bohr magnetons per cell
Energy relative to the elements, uncorrected = 0.255 eV/atom
DFT total energy = -5.344 eV/atom
SG = No. 99

Lattice parameters (Å, degrees): 3.6417 3.6400 5.9199 90.00 90.00 90.00
Each line ends with the local moment (μB).
Fractional positions:
Te (0.0000, 0.0000, 0.4601)  -0.02
Mn (0.5000, 0.5000, 0.2487)  3.53
Mn (0.0000, 0.0000, 0.0068)  3.68
Cd (0.5000, 0.5000, 0.7845)  -0.03

---

# 8
First-principles (PBE) data for a relaxed structure of MnCd2Te3, as listed in the Alexandria database.

Magnetization = 5.00 Bohr magnetons per cell
Energy relative to the elements, uncorrected = -0.332 eV/atom
DFT total energy = -3.736 eV/atom
SG = No. 156

Lattice parameters (Å, degrees): 4.6227 4.6227 11.2390 90.00 90.00 120.00
Each line ends with the local moment (μB).
Fractional positions:
Te (0.3333, 0.6667, 0.9060)  0.03
Te (0.6667, 0.3333, 0.5945)  0.04
Te (0.0000, 0.0000, 0.2503)  0.02
Cd (0.6667, 0.3333, 0.3395)  0.01
Cd (0.0000, 0.0000, 0.9964)  0.02
Mn (0.3333, 0.6667, 0.6634)  4.28

---

Among the records above, which one has the highest magnetization? number 3